Record 1
Density functional theory data (PBE) for a relaxed structure of SiNiRu2.

abc: 2.6854 2.6854 8.1872
angles: 90.00 90.00 116.50
Closest atoms and distances in Å follow each position.
Atoms (fractional coordinates):
Si: 0.0000 0.0000 0.0000  2 Ni 2.26, 2 Ru 2.39
Ni: 0.5000 0.5000 0.2157  2 Si 2.26
Ru: 0.0000 0.0000 0.4834  2 Ni 2.61, 8 Ru 2.69-2.83
Ru: 0.5000 0.5000 0.7652  2 Si 2.39

Summary:
* E_form (uncorrected): 129 meV per atom



Record 2
Density functional theory data (PBE) for a relaxed structure of SiNiRu2.

abc: 3.8939 4.9419 4.9419
angles: 32.29 90.00 90.00
Closest atoms and distances in Å follow each position.
Atoms (fractional coordinates):
Si: 0.0000 0.0000 0.0000  2 Ni 2.29, 1 Ru 2.47
Ni: 0.5000 0.1274 0.1274  2 Si 2.29, 1 Ru 2.48
Ru: 0.0000 0.7402 0.7402  3 Si 2.47-2.66, 4 Ni 2.61, 2 Ru 2.75
Ru: 0.5000 0.3881 0.3881  3 Ni 2.48-2.65, 4 Si 2.61, 6 Ru 2.75-2.77

Summary:
* E_form (uncorrected): -218 meV per atom



Record 3
Density functional theory data (PBE) for a relaxed structure of Si2NiRu.

abc: 4.0956 4.0956 4.6493
angles: 100.85 100.85 41.19
Closest atoms and distances in Å follow each position.
Atoms (fractional coordinates):
Si: 0.2493 0.2493 0.2536  3 Ni 2.42-2.49, 3 Ru 2.45-2.49, 2 Si 2.70
Si: 0.7507 0.7507 0.7464  3 Ni 2.42-2.49, 3 Ru 2.45-2.49, 2 Si 2.70
Ni: 0.0000 0.0000 0.5000  6 Si 2.42-2.49
Ru: 0.5000 0.5000 0.0000  6 Si 2.45-2.49, 4 Ni 2.73

Summary:
* E_form (uncorrected): -344 meV per atom



Record 4
Density functional theory data (PBE) for a relaxed structure of SiNiRu2.

abc: 2.7462 3.6268 5.1498
angles: 90.00 90.00 90.00
Closest atoms and distances in Å follow each position.
Atoms (fractional coordinates):
Si: 0.0000 0.0000 0.0000  6 Ru 2.46-2.69, 4 Ni 2.55, 2 Si 2.75
Ni: 0.5000 0.5000 0.2247  6 Ru 2.53-2.62, 4 Si 2.55, 2 Ni 2.75
Ru: 0.0000 0.0000 0.4775  2 Si 2.46-2.69, 4 Ni 2.62, 6 Ru 2.63-2.75
Ru: 0.5000 0.5000 0.7325  2 Ni 2.53-2.61, 6 Ru 2.63-2.75, 4 Si 2.66

Summary:
* E_form (uncorrected): -142 meV per atom



Record 5
Density functional theory data (PBE) for a relaxed structure of Si2NiRu.

abc: 7.6427 7.6427 7.6427
angles: 21.09 21.09 21.09
Closest atoms and distances in Å follow each position.
Atoms (fractional coordinates):
Si: 0.2481 0.2481 0.2481  3 Ni 2.44, 3 Ru 2.50
Si: 0.7519 0.7519 0.7519  3 Ni 2.44, 3 Ru 2.50
Ni: 0.5000 0.5000 0.5000  6 Si 2.44
Ru: 0.0000 0.0000 0.0000  6 Si 2.50, 6 Ru 2.80

Summary:
* E_form (uncorrected): -323 meV per atom



Record 6
Density functional theory data (PBE) for a relaxed structure of Si2NiRu.

abc: 2.8349 2.8349 7.6348
angles: 90.00 90.00 120.55
Closest atoms and distances in Å follow each position.
Atoms (fractional coordinates):
Si: 0.0000 0.0000 0.2447  2 Ni 2.34, 2 Ru 2.40
Si: 0.0000 0.0000 0.7553  2 Ni 2.34, 2 Ru 2.40
Ni: 0.5000 0.5000 0.0000  4 Si 2.34
Ru: 0.5000 0.5000 0.5000  4 Si 2.40

Summary:
* E_form (uncorrected): -127 meV per atom



Record 7
Density functional theory data (PBE) for a relaxed structure of SiNiRu2.

abc: 5.3349 5.3349 5.3349
angles: 103.25 103.25 122.80
Closest atoms and distances in Å follow each position.
Atoms (fractional coordinates):
Si: 0.0000 0.0000 0.0000  4 Ru 2.32, 2 Ni 2.55
Si: 0.7500 0.2500 0.5000  4 Ru 2.32, 2 Ni 2.55
Ni: 0.2500 0.7500 0.5000  4 Ru 2.54, 2 Si 2.55
Ni: 0.5000 0.5000 0.0000  4 Ru 2.54, 2 Si 2.55
Ru: 0.1001 0.1250 0.4751  2 Si 2.32, 2 Ni 2.54, 2 Ru 2.57
Ru: 0.3750 0.8999 0.0249  2 Si 2.32, 2 Ni 2.54, 2 Ru 2.57
Ru: 0.6499 0.6250 0.5249  2 Si 2.32, 2 Ni 2.54, 2 Ru 2.57
Ru: 0.8750 0.3501 0.9751  2 Si 2.32, 2 Ni 2.54, 2 Ru 2.57

Summary:
* E_form (uncorrected): 266 meV per atom



Record 8
Density functional theory data (PBE) for a relaxed structure of Si3NiRu3.

abc: 11.6523 2.9107 10.8238
angles: 90.00 90.00 90.00
Closest atoms and distances in Å follow each position.
Atoms (fractional coordinates):
Si: 0.0404 0.2500 0.1399  2 Ni 2.26, 1 Ru 2.33
Si: 0.1398 0.2500 0.5758  1 Ni 2.35, 5 Ru 2.39-2.55
Si: 0.2127 0.7500 0.3726  6 Ru 2.46-2.52, 1 Ni 2.47
Si: 0.2873 0.2500 0.8726  6 Ru 2.46-2.52, 1 Ni 2.47
Si: 0.3602 0.7500 0.0758  1 Ni 2.35, 5 Ru 2.39-2.55
Si: 0.4596 0.7500 0.6399  2 Ni 2.26, 1 Ru 2.33
Si: 0.5404 0.2500 0.3601  2 Ni 2.26, 1 Ru 2.33
Si: 0.6398 0.2500 0.9242  1 Ni 2.35, 5 Ru 2.39-2.55
Si: 0.7127 0.7500 0.1274  6 Ru 2.46-2.52, 1 Ni 2.47
Si: 0.7873 0.2500 0.6274  6 Ru 2.46-2.52, 1 Ni 2.47
Si: 0.8602 0.7500 0.4242  1 Ni 2.35, 5 Ru 2.39-2.55
Si: 0.9596 0.7500 0.8601  2 Ni 2.26, 1 Ru 2.33
Ni: 0.0913 0.2500 0.7861  4 Si 2.26-2.47
Ni: 0.4087 0.7500 0.2861  4 Si 2.26-2.47
Ni: 0.5913 0.2500 0.7139  4 Si 2.26-2.47
Ni: 0.9087 0.7500 0.2139  4 Si 2.26-2.47
Ru: 0.0365 0.2500 0.3846  6 Si 2.39-2.65
Ru: 0.1450 0.7500 0.9832  6 Si 2.51-2.70, 2 Ni 2.66
Ru: 0.2347 0.2500 0.1909  5 Si 2.33-2.46
Ru: 0.2653 0.7500 0.6909  5 Si 2.33-2.46
Ru: 0.3550 0.2500 0.4832  6 Si 2.51-2.70, 2 Ni 2.66
Ru: 0.4635 0.7500 0.8846  6 Si 2.39-2.65
Ru: 0.5365 0.2500 0.1154  6 Si 2.39-2.65
Ru: 0.6450 0.7500 0.5168  6 Si 2.51-2.70, 2 Ni 2.66
Ru: 0.7347 0.2500 0.3091  5 Si 2.33-2.46
Ru: 0.7653 0.7500 0.8091  5 Si 2.33-2.46
Ru: 0.8550 0.2500 0.0168  6 Si 2.51-2.70, 2 Ni 2.66
Ru: 0.9635 0.7500 0.6154  6 Si 2.39-2.65

Summary:
* E_form (uncorrected): -450 meV per atom



Record 9
Density functional theory data (PBE) for a relaxed structure of SiNiRu2.

abc: 2.8143 2.8143 6.3590
angles: 90.00 90.00 90.00
Closest atoms and distances in Å follow each position.
Atoms (fractional coordinates):
Si: 0.0000 0.0000 0.0000  4 Ni 2.32, 4 Ru 2.54
Ni: 0.5000 0.5000 0.1873  4 Si 2.32
Ru: 0.0000 0.0000 0.4736  8 Ru 2.66-2.81, 4 Ni 2.70
Ru: 0.5000 0.5000 0.7510  4 Si 2.54, 8 Ru 2.66-2.81, 1 Ni 2.77

Summary:
* E_form (uncorrected): -222 meV per atom



Record 10
Density functional theory data (PBE) for a relaxed structure of Si2Ni3Ru.

abc: 3.6371 6.9515 5.5935
angles: 90.00 90.00 90.00
Closest atoms and distances in Å follow each position.
Atoms (fractional coordinates):
Si: 0.0000 0.1251 0.0000  6 Ni 2.22-2.44, 1 Ru 2.45
Si: 0.0000 0.8749 0.5000  6 Ni 2.22-2.44, 1 Ru 2.45
Si: 0.5000 0.3741 0.5074  5 Ni 2.28-2.40, 2 Ru 2.44
Si: 0.5000 0.6259 0.0074  5 Ni 2.28-2.40, 2 Ru 2.44
Ni: 0.0000 0.1843 0.4040  4 Si 2.22-2.32
Ni: 0.0000 0.8157 0.9040  4 Si 2.22-2.32
Ni: 0.5000 0.0729 0.7176  5 Si 2.40-2.58, 3 Ni 2.64-2.68
Ni: 0.5000 0.3024 0.1097  4 Si 2.28-2.32
Ni: 0.5000 0.6976 0.6097  4 Si 2.28-2.32
Ni: 0.5000 0.9271 0.2176  5 Si 2.40-2.58, 3 Ni 2.64-2.68
Ru: 0.0000 0.4331 0.7885  5 Si 2.44-2.57, 2 Ni 2.71
Ru: 0.0000 0.5669 0.2885  5 Si 2.44-2.57, 2 Ni 2.71

Summary:
* E_form (uncorrected): -551 meV per atom



Record 11
Density functional theory data (PBE) for a relaxed structure of Si2NiRu.

abc: 4.1714 4.1714 4.1714
angles: 60.00 60.00 60.00
Closest atoms and distances in Å follow each position.
Atoms (fractional coordinates):
Si: 0.0000 0.0000 0.0000  4 Ru 2.55, 4 Si 2.55
Si: 0.2500 0.2500 0.2500  4 Ni 2.55, 4 Si 2.55
Ni: 0.5000 0.5000 0.5000  4 Ru 2.55, 4 Si 2.55
Ru: 0.7500 0.7500 0.7500  4 Ni 2.55, 4 Si 2.55

Summary:
* E_form (uncorrected): 89 meV per atom



Record 12
Density functional theory data (PBE) for a relaxed structure of Sm2Si3Ni12Ru.

abc: 6.2960 6.2960 6.2960
angles: 85.17 85.17 85.17
Closest atoms and distances in Å follow each position.
Atoms (fractional coordinates):
Sm: 0.1728 0.1728 0.1728  9 Ni 2.56-2.84
Sm: 0.8272 0.8272 0.8272  9 Ni 2.56-2.84
Si: 0.0000 0.5000 0.5000  6 Ni 2.30-2.54
Si: 0.5000 0.0000 0.5000  6 Ni 2.30-2.54
Si: 0.5000 0.5000 0.0000  6 Ni 2.30-2.54
Ni: 0.1110 0.1110 0.6036  2 Ni 2.32-2.56, 2 Si 2.54
Ni: 0.1110 0.6036 0.1110  2 Ni 2.32-2.56, 2 Si 2.54
Ni: 0.2038 0.6905 0.6905  1 Si 2.30, 3 Ni 2.32-2.49, 1 Ru 2.42, 1 Sm 2.56
Ni: 0.3095 0.3095 0.7962  1 Si 2.30, 3 Ni 2.32-2.49, 1 Ru 2.42, 1 Sm 2.56
Ni: 0.3095 0.7962 0.3095  1 Si 2.30, 3 Ni 2.32-2.49, 1 Ru 2.42, 1 Sm 2.56
Ni: 0.3964 0.8890 0.8890  2 Ni 2.32-2.56, 2 Si 2.54
Ni: 0.6036 0.1110 0.1110  2 Ni 2.32-2.56, 2 Si 2.54
Ni: 0.6905 0.2038 0.6905  1 Si 2.30, 3 Ni 2.32-2.49, 1 Ru 2.42, 1 Sm 2.56
Ni: 0.6905 0.6905 0.2038  1 Si 2.30, 3 Ni 2.32-2.49, 1 Ru 2.42, 1 Sm 2.56
Ni: 0.7962 0.3095 0.3095  1 Si 2.30, 3 Ni 2.32-2.49, 1 Ru 2.42, 1 Sm 2.56
Ni: 0.8890 0.3964 0.8890  2 Ni 2.32-2.56, 2 Si 2.54
Ni: 0.8890 0.8890 0.3964  2 Ni 2.32-2.56, 2 Si 2.54
Ru: 0.5000 0.5000 0.5000  6 Ni 2.42

Summary:
* E_form (uncorrected): -10 meV per atom



Record 13
Density functional theory data (PBE) for a relaxed structure of Sm2Si4Ni3Ru.

abc: 4.0216 4.0216 9.7312
angles: 90.00 90.00 90.00
Closest atoms and distances in Å follow each position.
Atoms (fractional coordinates):
Sm: 0.0000 0.5000 0.2409  6 Ni 3.07-3.22, 8 Si 3.09-3.10, 2 Ru 3.22
Sm: 0.5000 0.0000 0.7591  6 Ni 3.07-3.22, 8 Si 3.09-3.10, 2 Ru 3.22
Si: 0.0000 0.0000 0.0000  4 Ni 2.34
Si: 0.0000 0.5000 0.6325  3 Ni 2.38-2.39, 2 Ru 2.39
Si: 0.5000 0.0000 0.3675  3 Ni 2.38-2.39, 2 Ru 2.39
Si: 0.5000 0.5000 0.0000  4 Ni 2.34
Ni: 0.0000 0.5000 0.8768  5 Si 2.34-2.38
Ni: 0.5000 0.0000 0.1232  5 Si 2.34-2.38
Ni: 0.5000 0.5000 0.5000  4 Si 2.39
Ru: 0.0000 0.0000 0.5000  4 Si 2.39

Summary:
* E_form (uncorrected): -845 meV per atom



Record 14
Density functional theory data (PBE) for a relaxed structure of SrSi2NiRu.

abc: 6.0721 6.0721 6.0721
angles: 141.00 141.00 56.34
Closest atoms and distances in Å follow each position.
Atoms (fractional coordinates):
Sr: 0.0000 0.0000 0.0000  8 Si 3.22, 4 Ni 3.36, 4 Ru 3.36
Si: 0.3634 0.3634 0.0000  2 Ru 2.36, 2 Ni 2.36
Si: 0.6366 0.6366 0.0000  2 Ni 2.36, 2 Ru 2.36
Ni: 0.7500 0.2500 0.5000  4 Si 2.36
Ru: 0.2500 0.7500 0.5000  4 Si 2.36

Summary:
* E_form (uncorrected): -618 meV per atom



no.,density of states at the Fermi level (states/eV/atom)
1,1.022
2,0.786
3,0.739
4,1.004
5,0.841
6,0.835
7,1.440
8,0.503
9,0.587
10,0.609
11,0.765
12,0.884
13,0.389
14,0.366